A geometry-optimized Fe3Sb2Pb2 structure, computed with PBE.

a b c (Å): 8.6692 8.6692 8.6692
angles (deg): 30.54 30.54 30.54
Fractional coordinates of all 7 atoms:
Fe1 0.0000 0.0000 0.0000
Fe2 0.2107 0.2107 0.2107
Fe3 0.6975 0.6975 0.6975
Sb1 0.3271 0.3271 0.3271
Sb2 0.8386 0.8386 0.8386
Pb1 0.1021 0.1021 0.1021
Pb2 0.5825 0.5825 0.5825

Results
calculated total energy	-5.41	eV/atom
mass density	9.19	Mg/m³

***

A geometry-optimized FeSb6Pb4Se14 structure, computed with PBE.

a b c (Å): 4.1634 20.1494 16.8892
angles (deg): 90.00 92.92 90.00
Fractional coordinates of all 50 atoms:
Fe1 0.0000 0.0000 0.0000
Fe2 0.0000 0.5000 0.5000
Sb1 0.3650 0.1606 0.3725
Sb2 0.3650 0.3394 0.8725
Sb3 0.3792 0.0549 0.6037
Sb4 0.3792 0.4451 0.1037
Sb5 0.4204 0.5616 0.3166
Sb6 0.4204 0.9384 0.8166
Sb7 0.5796 0.0616 0.1834
Sb8 0.5796 0.4384 0.6834
Sb9 0.6208 0.5549 0.8963
Sb10 0.6208 0.9451 0.3963
Sb11 0.6350 0.6606 0.1275
Sb12 0.6350 0.8394 0.6275
Pb1 0.0393 0.6341 0.6898
Pb2 0.0393 0.8659 0.1898
Pb3 0.0726 0.7413 0.9328
Pb4 0.0726 0.7587 0.4328
Pb5 0.9274 0.2413 0.5672
Pb6 0.9274 0.2587 0.0672
Pb7 0.9607 0.1341 0.8102
Pb8 0.9607 0.3659 0.3102
Se1 0.0130 0.1029 0.0819
Se2 0.0130 0.3971 0.5819
Se3 0.0427 0.5055 0.7863
Se4 0.0427 0.9945 0.2863
Se5 0.0860 0.6013 0.0032
Se6 0.0860 0.8987 0.5032
Se7 0.1331 0.7005 0.2230
Se8 0.1331 0.7995 0.7230
Se9 0.4022 0.2257 0.9470
Se10 0.4022 0.2743 0.4470
Se11 0.4374 0.1668 0.6830
Se12 0.4374 0.3332 0.1830
Se13 0.4817 0.0453 0.9078
Se14 0.4817 0.4547 0.4078
Se15 0.5183 0.5453 0.5922
Se16 0.5183 0.9547 0.0922
Se17 0.5626 0.6668 0.8170
Se18 0.5626 0.8332 0.3170
Se19 0.5978 0.7257 0.5530
Se20 0.5978 0.7743 0.0530
Se21 0.8669 0.2005 0.2770
Se22 0.8669 0.2995 0.7770
Se23 0.9140 0.1013 0.4968
Se24 0.9140 0.3987 0.9968
Se25 0.9573 0.0055 0.7137
Se26 0.9573 0.4945 0.2137
Se27 0.9870 0.6029 0.4181
Se28 0.9870 0.8971 0.9181

Results
calculated total energy	-4.20	eV/atom
mass density	6.39	Mg/m³

***

A geometry-optimized ScFePb2 structure, computed with PBE.

a b c (Å): 5.0093 5.0093 5.0093
angles (deg): 60.00 60.00 60.00
Fractional coordinates of all 4 atoms:
Sc1 0.0000 0.0000 0.0000
Fe1 0.2500 0.2500 0.2500
Pb1 0.5000 0.5000 0.5000
Pb2 0.7500 0.7500 0.7500

Results
calculated total energy	-5.15	eV/atom
mass density	9.62	Mg/m³
E above lowest polymorph	0	meV per atom

***

A geometry-optimized ScFeTcPb structure, computed with PBE.

a b c (Å): 4.6403 4.6403 4.6403
angles (deg): 60.00 60.00 60.00
Fractional coordinates of all 4 atoms:
Sc1 0.0000 0.0000 0.0000
Fe1 0.5000 0.5000 0.5000
Tc1 0.7500 0.7500 0.7500
Pb1 0.2500 0.2500 0.2500

Results
calculated total energy	-6.89	eV/atom
mass density	9.54	Mg/m³
E above lowest polymorph	66	meV per atom

***

A geometry-optimized ScFeTcPb structure, computed with PBE.

a b c (Å): 4.5917 4.5917 4.5917
angles (deg): 60.00 60.00 60.00
Fractional coordinates of all 4 atoms:
Sc1 0.0000 0.0000 0.0000
Fe1 0.7500 0.7500 0.7500
Tc1 0.2500 0.2500 0.2500
Pb1 0.5000 0.5000 0.5000

Results
calculated total energy	-6.96	eV/atom
mass density	9.85	Mg/m³
E above lowest polymorph	0	meV per atom

***

A geometry-optimized ScFePbW structure, computed with PBE.

a b c (Å): 4.6154 4.6154 4.6154
angles (deg): 60.00 60.00 60.00
Fractional coordinates of all 4 atoms:
Sc1 0.0000 0.0000 0.0000
Fe1 0.5000 0.5000 0.5000
Pb1 0.2500 0.2500 0.2500
W1 0.7500 0.7500 0.7500

Results
calculated total energy	-7.25	eV/atom
mass density	11.75	Mg/m³
E above lowest polymorph	0	meV per atom

***

A geometry-optimized ScZnFePb structure, computed with PBE.

a b c (Å): 4.5919 4.5919 4.5919
angles (deg): 60.00 60.00 60.00
Fractional coordinates of all 4 atoms:
Sc1 0.0000 0.0000 0.0000
Zn1 0.7500 0.7500 0.7500
Fe1 0.5000 0.5000 0.5000
Pb1 0.2500 0.2500 0.2500

Results
calculated total energy	-4.80	eV/atom
mass density	9.06	Mg/m³
E above lowest polymorph	0	meV per atom

***

A geometry-optimized ScZnFePb structure, computed with PBE.

a b c (Å): 4.6906 4.6906 4.6906
angles (deg): 60.00 60.00 60.00
Fractional coordinates of all 4 atoms:
Sc1 0.0000 0.0000 0.0000
Zn1 0.2500 0.2500 0.2500
Fe1 0.7500 0.7500 0.7500
Pb1 0.5000 0.5000 0.5000

Results
calculated total energy	-4.77	eV/atom
mass density	8.50	Mg/m³
E above lowest polymorph	29	meV per atom